Cd3WO PBE with a Hubbard U relaxed; calculated total energy = -2.5685 eV per atom; energy relative to the lowest polymorph listed for this composition = 0.000 eV per atom; Fermi-level density of states = 2.57 states/eV/f.u.
1.0
4.6701 0.0000 0.0000
0.0000 4.6701 0.0000
0.0000 0.0000 4.6701
Cd W O
3 1 1
direct
0.0000 0.0000 0.5000 Cd
0.0000 0.5000 0.0000 Cd
0.5000 0.0000 0.0000 Cd
0.5000 0.5000 0.5000 W
0.0000 0.0000 0.0000 O